Material: Mg2ScIn
Method: DFT, PBE
State: optimized geometry

Cell and atoms, written as POSCAR:
```
Mg2ScIn
1.0
4.971 -0.618 -0.009
0.596 4.974 0.009
-2.779 -2.185 3.538
Sc Mg In
1 2 1
Cartesian
2.783 2.178 0.000
0.596 4.974 0.009
2.488 -0.311 1.764
0.302 2.482 1.773
```

Output
- Mass density: 3.897 Mg/m³
- Raw total energy: -3.2413 eV per atom
- Energy of formation: -17.0 kJ/mol of atoms

***

Material: SrBe4Cu
Method: DFT, PBE
State: optimized geometry

Cell and atoms, written as POSCAR:
```
SrBe4Cu
1.0
0.000 3.430 3.430
3.430 0.000 3.430
3.430 3.430 0.000
Sr Be Cu
1 4 1
Cartesian
0.000 0.000 0.000
2.625 4.236 4.236
4.236 4.236 2.625
4.236 2.625 4.236
2.625 2.625 2.625
5.145 5.145 5.145
```

Output
- Mass density: 3.852 Mg/m³
- Raw total energy: -3.0215 eV per atom
- Energy of formation: 41.1 kJ/mol of atoms

***

Material: KTc2Pb
Method: DFT, PBE
State: optimized geometry

Cell and atoms, written as POSCAR:
```
KTc2Pb
1.0
-6.054 -2.632 3.400
-1.317 -1.880 7.062
2.180 4.870 -5.165
K Pb Tc
1 1 2
Cartesian
-4.009 -2.454 5.689
-1.533 0.293 3.736
-6.604 -4.042 9.372
-4.104 -0.207 2.193
```

Output
- Mass density: 6.175 Mg/m³
- Raw total energy: -5.5538 eV per atom
- Energy of formation: 80.1 kJ/mol of atoms

***

Material: NdTmAlPd
Method: DFT, PBE
State: optimized geometry

Cell and atoms, written as POSCAR:
```
NdTmAlPd
1.0
5.113 0.000 0.000
2.556 4.428 0.000
2.556 1.476 4.174
Tm Nd Al Pd
1 1 1 1
Cartesian
7.669 4.428 3.131
2.556 1.476 1.044
5.113 2.952 2.087
0.000 0.000 0.000
```

Output
- Mass density: 7.848 Mg/m³
- Raw total energy: -5.0719 eV per atom
- Energy of formation: -51.0 kJ/mol of atoms

***

Material: LiSiP2Cl
Method: DFT, PBE
State: optimized geometry

Cell and atoms, written as POSCAR:
```
LiSiP2Cl
1.0
4.416 0.000 0.000
0.000 4.646 0.000
0.000 0.000 4.416
P Si Li Cl
2 1 1 1
Cartesian
0.000 0.000 2.208
2.208 0.000 0.000
2.208 2.323 2.208
0.000 0.000 0.000
0.000 2.323 0.000
```

Output
- Mass density: 2.427 Mg/m³
- Raw total energy: -3.2719 eV per atom

***

Material: ReNiP
Method: DFT, PBE
State: optimized geometry

Cell and atoms, written as POSCAR:
```
ReNiP
1.0
0.000 2.820 2.820
2.820 0.000 2.820
2.820 2.820 0.000
Re Ni P
1 1 1
Cartesian
1.410 1.410 1.410
0.000 0.000 0.000
2.820 2.820 2.820
```

Output
- Mass density: 10.215 Mg/m³
- Raw total energy: -7.6977 eV per atom
- Energy of formation: 17.6 kJ/mol of atoms

***

Material: RbSrCl2
Method: DFT, PBE
State: optimized geometry

Cell and atoms, written as POSCAR:
```
RbSrCl2
1.0
-1.352 1.953 3.892
-4.074 -1.026 1.771
2.745 -7.916 7.598
Rb Sr Cl
1 1 2
Cartesian
-1.271 -3.620 6.717
-0.893 -7.261 11.347
2.159 -6.857 6.863
-1.271 -0.662 2.562
```

Output
- Mass density: 2.046 Mg/m³
- Raw total energy: -3.3616 eV per atom

***

Material: CoWBr2
Method: DFT, PBE
State: optimized geometry

Cell and atoms, written as POSCAR:
```
CoWBr2
1.0
6.752 -0.305 -0.835
-3.860 4.566 0.327
-0.968 0.979 2.683
Br Co W
2 1 1
Cartesian
0.000 0.000 0.000
2.892 0.337 0.924
-2.414 2.772 1.505
1.446 2.131 -0.254
```

Output
- Mass density: 8.686 Mg/m³
- Raw total energy: -4.7084 eV per atom